(1)
Density functional theory data (GGA-PBE) for crystalline MgCr2I at its relaxed geometry.

Calculated values
DOS at the Fermi energy in states/eV per atom: 0.51
Volume in Å³/f.u.: 88.7
E_form (uncorrected) in eV/f.u.: 3.5
ρ in g/cm3: 4.78
Total magnetization in μB per atom: 2.226

Geometry as POSCAR:
```
MgCr2I
1.0
-3.462 -3.536 -0.757
-4.351 0.187 2.469
-4.222 1.114 -2.449
Cr Mg I
2 1 1
Cartesian
-9.026 -1.676 -0.553
-3.009 -0.559 -0.184
0.000 0.000 0.000
-6.017 -1.117 -0.369
```

(2)
Density functional theory data (GGA-PBE) for crystalline Mg2CrI at its relaxed geometry.

Calculated values
DOS at the Fermi energy in states/eV per atom: 0.57
Volume in Å³/f.u.: 101.3
E_form (uncorrected) in eV/f.u.: 2.3
ρ in g/cm3: 3.73
Total magnetization in μB per atom: 1.116

Geometry as POSCAR:
```
Mg2CrI
1.0
0.000 3.700 3.700
3.700 0.000 3.700
3.700 3.700 0.000
Cr I Mg
1 1 2
Cartesian
0.000 0.000 0.000
3.700 3.700 3.700
5.550 5.550 5.550
1.850 1.850 1.850
```